Sc2CuHg after structural relaxation. Source: Alexandria, functional GGA-PBE.

Output
Energy of formation from the pure elements ... 0.058 eV/atom
ρ ... 6.7 g/cm3

a b c (Å): 7.4073 7.4073 6.3885
angles (deg): 90.00 90.00 90.00
Space group I-42d (No. 122)
One atom of each set of equivalent atoms:
Sc1 0.2173 0.2500 0.1250 (multiplicity 8)
Cu1 0.0000 0.0000 0.0000 (multiplicity 4)
Hg1 0.0000 0.0000 0.5000 (multiplicity 4)